Density functional theory data (PBE-GGA) for a relaxed LaTaMn2C crystal.

a = 4.247 Å, b = 4.247 Å, c = 4.456 Å
α = 90.00°, β = 90.00°, γ = 90.00°
Space group P4/mmm (No. 123)
Symmetry-distinct sites (fractional):
La: 0.000 0.000 0.000 x1
Ta: 0.500 0.500 0.000 x1
Mn: 0.000 0.500 0.500 x2
C: 0.500 0.500 0.500 x1

Calculated values
**Energy relative to the elements**: 30.57 kJ per mole of atoms

***

Density functional theory data (PBE-GGA) for a relaxed BaCa4Hg5 crystal.

a = 3.851 Å, b = 3.851 Å, c = 19.529 Å
α = 90.00°, β = 90.00°, γ = 90.00°
Space group P4/mmm (No. 123)
Symmetry-distinct sites (fractional):
Ba: 0.000 0.000 0.000 x1
Ca: 0.000 0.000 0.213 x2
Ca: 0.000 0.000 0.404 x2
Hg: 0.500 0.500 0.119 x2
Hg: 0.500 0.500 0.309 x2
Hg: 0.500 0.500 0.500 x1

Calculated values
**Energy relative to the elements**: -51.10 kJ per mole of atoms

***

Density functional theory data (PBE-GGA) for a relaxed TlReSe2 crystal.

a = 6.811 Å, b = 6.811 Å, c = 6.811 Å
α = 90.00°, β = 90.00°, γ = 90.00°
Space group F-43m (No. 216)
Symmetry-distinct sites (fractional):
Tl: 0.000 0.000 0.000 x4
Re: 0.250 0.250 0.750 x4
Se: 0.000 0.000 0.500 x4
Se: 0.250 0.250 0.250 x4

Calculated values
**Formation energy (no corrections)**: 1149 meV/atom
**Excess energy over the best structure of this formula in the dataset**: 1.1459 eV per atom

***

Density functional theory data (PBE-GGA) for a relaxed SmAl2CuAu5 crystal.

a = 4.857 Å, b = 4.857 Å, c = 7.697 Å
α = 90.00°, β = 90.00°, γ = 90.00°
Space group P4/mmm (No. 123)
Symmetry-distinct sites (fractional):
Sm: 0.000 0.000 0.000 x1
Al: 0.500 0.500 0.339 x2
Cu: 0.000 0.000 0.500 x1
Au: 0.000 0.500 0.253 x4
Au: 0.500 0.500 0.000 x1

Calculated values
**Energy relative to the elements**: -23.21 kJ per mole of atoms

***

Density functional theory data (PBE-GGA) for a relaxed K3Dy2NpS6 crystal.

a = 7.067 Å, b = 12.227 Å, c = 7.735 Å
α = 90.00°, β = 107.68°, γ = 90.00°
Space group C2/m (No. 12)
Symmetry-distinct sites (fractional):
K: 0.000 0.000 0.000 x2
K: 0.000 0.333 0.000 x4
Dy: 0.000 0.166 0.500 x4
Np: 0.000 0.500 0.500 x2
S: 0.231 0.000 0.703 x4
S: 0.236 0.332 0.702 x8

Calculated values
**Formation energy (no corrections)**: -1708 meV/atom

***

Density functional theory data (PBE-GGA) for a relaxed AlTcPb2 crystal.

a = 4.885 Å, b = 4.885 Å, c = 3.552 Å
α = 90.00°, β = 90.00°, γ = 90.00°
Space group P4/mmm (No. 123)
Symmetry-distinct sites (fractional):
Al: 0.000 0.000 0.000 x1
Tc: 0.500 0.500 0.000 x1
Pb: 0.000 0.500 0.500 x2

Calculated values
**Energy relative to the elements**: 64.16 kJ per mole of atoms

***

Computed DOS at the Fermi energy, in the same sequence as the records: 0.6956; 0.7770; 0.8271; 0.3385; 0.6427; 0.7687 states/eV/atom.